# 1
VASP calculation (SCAN) on a PBEsol-optimized structure of HfTcSeBr2.

CIF file:
```
data_HfTcSeBr2
_chemical_formula_sum 'Hf1 Tc1 Se1 Br2'
_symmetry_space_group_name_H-M 'P 4/m m m'
_symmetry_Int_Tables_number 123
_symmetry_space_group_name_Hall '-P 4 2'
_cell_length_a 5.159
_cell_length_b 5.159
_cell_length_c 5.113
_cell_angle_alpha 90.00
_cell_angle_beta 90.00
_cell_angle_gamma 90.00
loop_
_atom_site_label
_atom_site_type_symbol
_atom_site_fract_x
_atom_site_fract_y
_atom_site_fract_z
_atom_site_occupancy
Hf1 Hf 0.000 0.000 0.000 1
Tc1 Tc 0.500 0.500 0.500 1
Se1 Se 0.000 0.000 0.500 1
Br1 Br 0.000 0.500 0.000 1
```

Calculated values
The calculation puts the formation energy without anion corrections at 0.145 eV/atom.

=====

# 2
VASP calculation (SCAN) on a PBEsol-optimized structure of HfSiBr2.

CIF file:
```
data_HfSiBr2
_chemical_formula_sum 'Hf3 Si3 Br6'
_symmetry_space_group_name_H-M 'R -3 m'
_symmetry_Int_Tables_number 166
_symmetry_space_group_name_Hall '-R 3 2"'
_cell_length_a 3.2789
_cell_length_b 3.2789
_cell_length_c 28.5872
_cell_angle_alpha 90.00
_cell_angle_beta 90.00
_cell_angle_gamma 120.00
loop_
_atom_site_label
_atom_site_type_symbol
_atom_site_fract_x
_atom_site_fract_y
_atom_site_fract_z
_atom_site_occupancy
Hf1 Hf 0.0000 0.0000 0.0000 1
Si1 Si 0.0000 0.0000 0.5000 1
Br1 Br 0.0000 0.0000 0.4015 1
```

Calculated values
The calculation puts the formation energy without anion corrections at -0.172 eV/atom.

=====

# 3
VASP calculation (SCAN) on a PBEsol-optimized structure of HfSnBr2.

CIF file:
```
data_HfSnBr2
_chemical_formula_sum 'Hf3 Sn3 Br6'
_symmetry_space_group_name_H-M 'R -3 m'
_symmetry_Int_Tables_number 166
_symmetry_space_group_name_Hall '-R 3 2"'
_cell_length_a 3.4163
_cell_length_b 3.4163
_cell_length_c 30.5064
_cell_angle_alpha 90.00
_cell_angle_beta 90.00
_cell_angle_gamma 120.00
loop_
_atom_site_label
_atom_site_type_symbol
_atom_site_fract_x
_atom_site_fract_y
_atom_site_fract_z
_atom_site_occupancy
Hf1 Hf 0.0000 0.0000 0.0000 1
Sn1 Sn 0.0000 0.0000 0.5000 1
Br1 Br 0.0000 0.0000 0.0827 1
```

Calculated values
The calculation puts the formation energy without anion corrections at -0.252 eV/atom.

=====

# 4
VASP calculation (SCAN) on a PBEsol-optimized structure of HfTa2TiBr.

CIF file:
```
data_HfTa2TiBr
_chemical_formula_sum 'Hf1 Ta2 Ti1 Br1'
_symmetry_space_group_name_H-M 'P 4/m m m'
_symmetry_Int_Tables_number 123
_symmetry_space_group_name_Hall '-P 4 2'
_cell_length_a 4.651
_cell_length_b 4.651
_cell_length_c 5.112
_cell_angle_alpha 90.00
_cell_angle_beta 90.00
_cell_angle_gamma 90.00
loop_
_atom_site_label
_atom_site_type_symbol
_atom_site_fract_x
_atom_site_fract_y
_atom_site_fract_z
_atom_site_occupancy
Hf1 Hf 0.000 0.000 0.000 1
Ta1 Ta 0.000 0.500 0.500 1
Ti1 Ti 0.000 0.000 0.500 1
Br1 Br 0.500 0.500 0.000 1
```

Calculated values
The calculation puts the formation energy without anion corrections at 1.451 eV/atom.